Material: SrCr2Pt
Method: DFT, GGA-PBE
State: relaxed

Output
ΔE_f in kcal/mol of atoms: 24.0
E_tot in eV per atom: -5.70
DOS at the Fermi energy in states/eV/f.u.: 5.54

abc: 9.9661 9.9661 9.9661
angles: 16.26 16.26 16.26
With the nearest neighbours (Å) after each atom.
Fractional coordinates of all 4 atoms:
Sr (0.0000, 0.0000, 0.0000)  6 Sr 2.82
Cr (0.2385, 0.2385, 0.2385)  3 Pt 2.67, 6 Cr 2.82
Cr (0.7615, 0.7615, 0.7615)  3 Pt 2.67, 6 Cr 2.82
Pt (0.5000, 0.5000, 0.5000)  6 Cr 2.67, 6 Pt 2.82